Density functional theory data (SCAN) for a crystal of BaNiHW2 relaxed with PBEsol.

The value obtained for the theoretical density is 7909 kg/m³. As for the electronic total energy: -35.5079 eV per atom.

It has space group P4/mmm (No. 123), with a = 5.031 Å, b = 5.031 Å, c = 4.683 Å, α = 90.00°, β = 90.00° and γ = 90.00°. The inequivalent atoms are Ba at (0.000, 0.000, 0.000), Ni at (0.000, 0.000, 0.500), H at (0.500, 0.500, 0.500) and W at (0.000, 0.500, 0.000).

=====

Density functional theory data (SCAN) for a crystal of BaHO2 relaxed with PBEsol.

The value obtained for the theoretical density is 4628 kg/m³. As for the electronic total energy: -13.1898 eV per atom.

It has space group R-3m (No. 166, hexagonal axes), with a = 3.4414 Å, b = 3.4414 Å, c = 17.8777 Å, α = 90.00°, β = 90.00° and γ = 120.00°. The inequivalent atoms are Ba at (0.0000, 0.0000, 0.0000), H at (0.0000, 0.0000, 0.5000) and O at (0.0000, 0.0000, 0.1224).

=====

Density functional theory data (SCAN) for a crystal of BaH8O5 relaxed with PBEsol.

The value obtained for the theoretical density is 3087 kg/m³. As for the electronic total energy: -8.4157 eV per atom.

It has space group Pnma (No. 62), with a = 7.422 Å, b = 11.134 Å, c = 5.868 Å, α = 90.00°, β = 90.00° and γ = 90.00°. The inequivalent atoms are Ba at (0.031, 0.250, 0.080), H at (0.043, 0.518, 0.270), H at (0.046, 0.678, 0.393), H at (0.164, 0.081, 0.521), H at (0.193, 0.520, 0.829), O at (0.057, 0.076, 0.749), O at (0.105, 0.750, 0.472) and O at (0.222, 0.092, 0.362).